1.
A plane-wave DFT calculation with meta-GGA SCAN was carried out for Tl2CrHgSe at its PBEsol-relaxed geometry.

Unit cell a=5.222 b=5.591 c=5.591 alpha=90.00 beta=90.00 gamma=90.00
Fractional positions:
Cr  0.500  0.500  0.500
Tl  0.000  0.000  0.500
Hg  0.000  0.000  0.000
Se  0.500  0.000  0.000
Tl  0.000  0.500  0.000

Output
The calculated total energy comes out at -248.37 eV per cell. For the uncorrected formation energy, the calculation gives 596 meV/atom. As for the density of states at the Fermi level: 0.453 states/eV per atom. The calculation puts the density at 7.53 g/cm3.

2.
A plane-wave DFT calculation with meta-GGA SCAN was carried out for CrSiHg2 at its PBEsol-relaxed geometry.

Unit cell a=2.785 b=3.893 c=6.853 alpha=102.28 beta=101.72 gamma=90.00
Fractional positions:
Cr  0.000  0.500  0.000
Hg  0.320  0.307  0.640
Si  0.500  0.000  0.000
Hg  0.680  0.693  0.360

Output
The calculated total energy comes out at -163.92 eV per cell. For the uncorrected formation energy, the calculation gives 203 meV/atom. As for the density of states at the Fermi level: 0.421 states/eV per atom. The calculation puts the density at 11.25 g/cm3.

3.
A plane-wave DFT calculation with meta-GGA SCAN was carried out for Cr3SiHg at its PBEsol-relaxed geometry.

Unit cell a=4.964 b=4.964 c=4.964 alpha=90.00 beta=90.00 gamma=90.00
Fractional positions:
Si  0.500  0.500  0.500
Cr  0.500  0.000  0.000
Cr  0.000  0.500  0.000
Hg  0.000  0.000  0.000
Cr  0.000  0.000  0.500

Output
The calculated total energy comes out at -126.44 eV per cell. For the uncorrected formation energy, the calculation gives 1379 meV/atom. As for the density of states at the Fermi level: 0.748 states/eV per atom. The calculation puts the density at 5.22 g/cm3.